Cs2BaHgBi2, optimized geometry, DFT GGA-PBE; total energy = -29.02 eV/cell; space group = Ibam, No. 72
1.0
-4.0101 8.8299 4.1053
4.0101 -8.8299 4.1053
4.0101 8.8299 -4.1053
Cs Ba Hg Bi
4 2 2 4
Cartesian
1.7739 3.0718 0.0000
1.7739 -3.0718 4.1053
2.2362 11.9017 0.0000
2.2362 5.7582 4.1053
4.0101 0.0000 2.0527
0.0000 8.8299 2.0527
0.0000 0.0000 2.0527
0.0000 0.0000 6.1580
6.2905 1.6949 0.0000
2.2804 7.1350 0.0000
1.7297 1.6949 4.1053
-2.2804 7.1350 4.1053

---

Ac6NdTl6, optimized geometry, DFT GGA-PBE; total energy = -44.99 eV/cell; space group = Cmmm, No. 65
1.0
3.6734 -6.1218 0.0000
3.6734 6.1218 0.0000
0.0000 0.0000 10.7407
Ac Nd Tl
6 1 6
Cartesian
0.0000 0.0000 2.0034
0.0000 0.0000 8.7374
1.8367 3.0609 3.0560
1.8367 3.0609 7.6848
1.8367 -3.0609 3.0560
1.8367 -3.0609 7.6848
3.6734 0.0000 5.3704
3.6734 4.6555 5.3704
3.6734 2.8927 0.0000
3.6734 0.0000 2.0842
3.6734 0.0000 8.6566
3.6734 -2.8927 0.0000
3.6734 -4.6555 5.3704

---

Na2Cd3In4Sn, optimized geometry, DFT GGA-PBE; total energy = -20.83 eV/cell; space group = P-4m2, No. 115
1.0
4.5090 0.0000 0.0000
0.0000 4.5090 0.0000
0.0000 0.0000 13.7002
Na Cd In Sn
2 3 4 1
Cartesian
0.0000 2.2545 3.1216
2.2545 0.0000 10.5786
0.0000 2.2545 11.7169
2.2545 0.0000 1.9833
2.2545 2.2545 6.8501
0.0000 0.0000 0.0000
0.0000 2.2545 8.8969
2.2545 0.0000 4.8033
2.2545 2.2545 0.0000
0.0000 0.0000 6.8501

---

TmPu2Mo2C4, optimized geometry, DFT GGA-PBE; total energy = -91.17 eV/cell; space group = C2/m, No. 12
1.0
8.1054 -1.6692 0.0000
8.1054 1.6692 0.0000
-0.3616 0.0000 5.6665
Tm Pu Mo C
1 2 2 4
Cartesian
0.0000 0.0000 0.0000
2.2642 0.0000 3.2599
13.5851 0.0000 2.4066
4.7760 0.0000 5.3433
11.0733 0.0000 0.3233
3.7710 0.0000 1.3241
6.6580 0.0000 0.9369
9.1913 0.0000 4.7297
12.0783 0.0000 4.3424

---

ScBePt3, optimized geometry, DFT GGA-PBE; E above lowest polymorph = 1651 meV/atom; total energy = -23.43 eV/cell; space group = Pm-3m, No. 221
1.0
4.7726 0.0000 0.0000
0.0000 4.7726 0.0000
0.0000 0.0000 4.7726
Sc Be Pt
1 1 3
Cartesian
0.0000 0.0000 0.0000
2.3863 2.3863 2.3863
0.0000 0.0000 2.3863
0.0000 2.3863 0.0000
2.3863 0.0000 0.0000

---

no.,total moment (μB/atom),E_form (eV/atom),Fermi-level density of states (states/eV/cell)
1,0.00,-0.470,2.27
2,0.00,-0.106,14.11
3,0.00,-0.049,2.39
4,1.17,0.058,16.70
5,0.00,0.949,2.73